Computed, not measured: a relaxed La2MgSe crystal at the GGA-PBE level of DFT.

Its energy above the most stable polymorph in this dataset is 0.554 eV/f.u. The calculated density comes out at 5.7 g/cm3. For the total energy, the calculation gives -4.491 eV per atom. The value obtained for the energy relative to the elements, uncorrected is -0.7576 eV per atom. The volume is 27.7 A^3/atom. The total magnetic moment comes out at 0.00 μB per atom.

It has space group Cmmm (No. 65), with a = 7.044 Å, b = 8.470 Å, c = 3.719 Å, α = 90.00°, β = 90.00° and γ = 90.00°. Symmetry generates all atoms from La at (0.250, 0.250, 0.000), Mg at (0.000, 0.000, 0.500) and Se at (0.000, 0.500, 0.500).

=====

Computed, not measured: a relaxed LaMg4Se crystal at the GGA-PBE level of DFT.

The calculated density comes out at 3.4 g/cm3. For the total energy, the calculation gives -2.539 eV per atom. The value obtained for the energy relative to the elements, uncorrected is -0.0740 eV per atom. The volume is 25.8 A^3/atom. The total magnetic moment comes out at 0.00 μB per atom.

It has space group F-43m (No. 216), with a = 8.527 Å, b = 8.527 Å, c = 8.527 Å, α = 90.00°, β = 90.00° and γ = 90.00°. Symmetry generates all atoms from La at (0.000, 0.000, 0.000), Mg at (0.125, 0.125, 0.625) and Se at (0.250, 0.250, 0.250).

=====

Computed, not measured: a relaxed La2MgSe crystal at the GGA-PBE level of DFT.

Its energy above the most stable polymorph in this dataset is 1.289 eV/f.u. The calculated density comes out at 5.1 g/cm3. For the total energy, the calculation gives -4.307 eV per atom. The value obtained for the energy relative to the elements, uncorrected is -0.5739 eV per atom. The volume is 30.9 A^3/atom. The total magnetic moment comes out at 0.00 μB per atom.

It has space group Cmm2 (No. 35), with a = 4.193 Å, b = 6.171 Å, c = 9.551 Å, α = 90.00°, β = 90.00° and γ = 90.00°. Symmetry generates all atoms from La at (0.000, 0.000, 0.000), La at (0.000, 0.500, 0.308), Mg at (0.000, 0.500, 0.708) and Se at (0.000, 0.000, 0.530).

=====

Question: Which of these has the lowest calculated density?
Answer: LaMg4Se

=====

Question: What is the energy relative to the elements, uncorrected in the first record?
Answer: -0.7576 eV per atom

=====

Question: What is the formula in the first record?
Answer: La2MgSe